No. 1
The following is a PBE calculation of a relaxed structure of Zn2ICl3, from Alexandria.

The structure belongs to space group C2/m (No. 12); the cell edges are 15.892, 3.817 and 12.686 Å and the angles 90.00°, 118.63° and 90.00°. The distinct sites, in fractional coordinates, are Zn at (0.245, 0.000, 0.131), Zn at (0.247, 0.500, 0.378), I at (0.127, 0.500, 0.962), Cl at (0.151, 0.000, 0.239), Cl at (0.153, 0.500, 0.480) and Cl at (0.159, 0.000, 0.724).

The formation energy (no corrections) is -0.9070 eV/atom. The density is 3.58 g cm⁻³. The density of states at the Fermi level comes out at 0.00 states/eV/cell. The value obtained for the size of the total moment is 0.000 μB/atom. As for the crystal system: monoclinic.

=====

No. 2
The following is a PBE calculation of a relaxed structure of CaPrDy2, from Alexandria.

The structure belongs to space group P4/mmm (No. 123); the cell edges are 3.673, 3.673 and 10.387 Å and the angles 90.00°, 90.00° and 90.00°. The distinct sites, in fractional coordinates, are Ca at (0.000, 0.000, 0.000), Pr at (0.000, 0.000, 0.500) and Dy at (0.500, 0.500, 0.265).

The density is 6.00 g cm⁻³. Its formation energy is 0.0789 eV per atom. The density of states at the Fermi level comes out at 6.46 states/eV/cell. The value obtained for the excess energy over the best structure of this formula in the dataset is 5.9 kJ/mol of formula units. The value obtained for the size of the total moment is 0.000 μB/atom. As for the crystal system: tetragonal.

=====

No. 3
The following is a PBE calculation of a relaxed structure of CaTcSbO6, from Alexandria.

The structure belongs to space group P4_2nm (No. 102); the cell edges are 4.853, 4.853 and 9.873 Å and the angles 90.00°, 90.00° and 90.00°. The distinct sites, in fractional coordinates, are Ca at (0.000, 0.000, 0.000), Tc at (0.000, 0.000, 0.665), Sb at (0.000, 0.000, 0.343), O at (0.178, 0.178, 0.516), O at (0.213, 0.213, 0.826) and O at (0.230, 0.230, 0.191).

The formation energy (no corrections) is -1.6998 eV/atom. The density is 5.08 g cm⁻³. The density of states at the Fermi level comes out at 0.78 states/eV/cell. The value obtained for the size of the total moment is 0.000 μB/atom. As for the crystal system: tetragonal.

=====

No. 4
The following is a PBE calculation of a relaxed structure of Sm6Ga2H, from Alexandria.

The structure belongs to space group P2_1/c (No. 14); the cell edges are 6.395, 8.210 and 11.016 Å and the angles 90.00°, 124.00° and 90.00°. The distinct sites, in fractional coordinates, are Sm at (0.095, 0.160, 0.446), Sm at (0.313, 0.697, 0.443), Sm at (0.346, 0.035, 0.229), Ga at (0.193, 0.120, 0.761) and H at (0.500, 0.000, 0.500).

The density is 7.22 g cm⁻³. The density of states at the Fermi level comes out at 19.68 states/eV/cell. The value obtained for the size of the total moment is 0.000 μB/atom. As for the crystal system: monoclinic.

=====

No. 5
The following is a PBE calculation of a relaxed structure of Sc6GaS5, from Alexandria.

The structure belongs to space group C2/m (No. 12); the cell edges are 6.475, 11.168 and 6.453 Å and the angles 90.00°, 109.37° and 90.00°. The distinct sites, in fractional coordinates, are Sc at (0.248, 0.000, 0.249), Sc at (0.249, 0.168, 0.749), Ga at (0.000, 0.500, 0.000), S at (0.000, 0.000, 0.500), S at (0.000, 0.167, 0.000) and S at (0.000, 0.333, 0.500).

The formation energy (no corrections) is -1.6516 eV/atom. The density is 3.77 g cm⁻³. The density of states at the Fermi level comes out at 11.30 states/eV/cell. The value obtained for the size of the total moment is 0.000 μB/atom. As for the crystal system: monoclinic.

=====

No. 6
The following is a PBE calculation of a relaxed structure of Ti3SN, from Alexandria.

The structure belongs to space group Pm-3m (No. 221); the cell edges are 4.082, 4.082 and 4.082 Å and the angles 90.00°, 90.00° and 90.00°. The distinct sites, in fractional coordinates, are Ti at (0.000, 0.000, 0.500), S at (0.500, 0.500, 0.500) and N at (0.000, 0.000, 0.000).

The formation energy (no corrections) is -0.7355 eV/atom. The density is 4.63 g cm⁻³. The density of states at the Fermi level comes out at 6.13 states/eV/cell. The value obtained for the excess energy over the best structure of this formula in the dataset is 0.0 kJ/mol of formula units. The value obtained for the size of the total moment is 0.331 μB/atom. As for the crystal system: cubic.

=====

No. 7
The following is a PBE calculation of a relaxed structure of PmThSc2, from Alexandria.

The structure belongs to space group Fm-3m (No. 225); the cell edges are 7.716, 7.716 and 7.716 Å and the angles 90.00°, 90.00° and 90.00°. The distinct sites, in fractional coordinates, are Pm at (0.000, 0.000, 0.000), Th at (0.000, 0.000, 0.500) and Sc at (0.250, 0.250, 0.250).

The density is 6.75 g cm⁻³. Its formation energy is 0.0665 eV per atom. The density of states at the Fermi level comes out at 26.18 states/eV/cell. The value obtained for the excess energy over the best structure of this formula in the dataset is 16.8 kJ/mol of formula units. The value obtained for the size of the total moment is 0.000 μB/atom. As for the crystal system: cubic.

=====

No. 8
The following is a PBE calculation of a relaxed structure of Pu2HgPtO8, from Alexandria.

The structure belongs to space group C2/m (No. 12); the cell edges are 12.596, 5.415 and 8.096 Å and the angles 90.00°, 111.57° and 90.00°. The distinct sites, in fractional coordinates, are Pu at (0.233, 0.000, 0.157), Hg at (0.000, 0.000, 0.500), Pt at (0.000, 0.500, 0.000), O at (0.111, 0.258, 0.128), O at (0.196, 0.000, 0.915) and O at (0.219, 0.500, 0.606).

The formation energy (no corrections) is -1.5193 eV/atom. The density is 6.54 g cm⁻³. The density of states at the Fermi level comes out at 6.91 states/eV/cell. The value obtained for the size of the total moment is 0.165 μB/atom. As for the crystal system: monoclinic.

=====

No. 9
The following is a PBE calculation of a relaxed structure of Tb3SmHo6Er2, from Alexandria.

The structure belongs to space group C2/m (No. 12); the cell edges are 6.128, 10.603 and 11.721 Å and the angles 90.00°, 99.97° and 90.00°. The distinct sites, in fractional coordinates, are Tb at (0.000, 0.000, 0.000), Tb at (0.000, 0.333, 0.000), Sm at (0.000, 0.500, 0.500), Ho at (0.249, 0.167, 0.250), Ho at (0.250, 0.000, 0.750) and Er at (0.000, 0.167, 0.500).

The density is 8.64 g cm⁻³. Its formation energy is 0.0173 eV per atom. The density of states at the Fermi level comes out at 31.06 states/eV/cell. The value obtained for the size of the total moment is 0.000 μB/atom. As for the crystal system: monoclinic.

=====

No. 10
The following is a PBE calculation of a relaxed structure of CaAsW4, from Alexandria.

The structure belongs to space group F-43m (No. 216); the cell edges are 7.687, 7.687 and 7.687 Å and the angles 90.00°, 90.00° and 90.00°. The distinct sites, in fractional coordinates, are Ca at (0.000, 0.000, 0.000), As at (0.250, 0.250, 0.250) and W at (0.126, 0.126, 0.626).

The density is 12.43 g cm⁻³. Its formation energy is 0.7176 eV per atom. The density of states at the Fermi level comes out at 18.67 states/eV/cell. The value obtained for the size of the total moment is 0.000 μB/atom. As for the crystal system: cubic.

=====

No. 11
The following is a PBE calculation of a relaxed structure of RbHBr3, from Alexandria.

The structure belongs to space group Cmc2_1 (No. 36); the cell edges are 7.583, 13.428 and 6.735 Å and the angles 90.00°, 90.00° and 90.00°. The distinct sites, in fractional coordinates, are Rb at (0.000, 0.142, 0.000), H at (0.000, 0.490, 0.502), Br at (0.000, 0.382, 0.501) and Br at (0.189, 0.123, 0.500).

The density is 3.16 g cm⁻³. The density of states at the Fermi level comes out at 0.27 states/eV/cell. The value obtained for the excess energy over the best structure of this formula in the dataset is 0.0 kJ/mol of formula units. The value obtained for the size of the total moment is 0.201 μB/atom. As for the crystal system: orthorhombic.

=====

No. 12
The following is a PBE calculation of a relaxed structure of Fe2NiCl, from Alexandria.

The structure belongs to space group C2/m (No. 12); the cell edges are 6.239, 3.628 and 6.782 Å and the angles 90.00°, 105.88° and 90.00°. The distinct sites, in fractional coordinates, are Fe at (0.119, 0.000, 0.345), Ni at (0.000, 0.500, 0.500) and Cl at (0.000, 0.000, 0.000).

The formation energy (no corrections) is 0.2418 eV/atom. The density is 4.63 g cm⁻³. The density of states at the Fermi level comes out at 3.83 states/eV/cell. The value obtained for the excess energy over the best structure of this formula in the dataset is 43.5 kJ/mol of formula units. The value obtained for the size of the total moment is 1.766 μB/atom. As for the crystal system: monoclinic.

=====

| no. | total energy (eV per atom) |
| --- | --- |
| 1 | -2.51 |
| 2 | -3.92 |
| 3 | -6.84 |
| 4 | -4.49 |
| 5 | -6.79 |
| 6 | -7.96 |
| 7 | -6.14 |
| 8 | -7.74 |
| 9 | -4.58 |
| 10 | -9.03 |
| 11 | -2.55 |
| 12 | -5.90 |